{"formula": "InSb2W", "functional": "GGA-PBE", "state": "optimized geometry", "lattice": [[-0.6155, -3.0524, 0.3010], [2.6631, 0.3800, -1.5968], [5.4710, -0.2084, 9.0749]], "species": ["In", "W", "Sb", "Sb"], "frac_coords": [[0.5000, 0.5000, 0.7500], [0.5000, 0.5000, 0.2500], [0.0000, 0.0000, 0.0478], [0.0000, 0.0000, 0.4522]], "space_group": "Cmmm (65)", "e_form_raw_mev_per_atom": 468, "dos_at_fermi_per_ev_fu": 3.0}